## LaIrRu2 (PBE)

Data for an optimized crystal structure of LaIrRu2.

a b c (Å): 5.806 5.806 5.806
angles (deg): 150.74 131.61 57.55
Sites, in units of the cell vectors:
La  0.000  0.000  0.000
Ir  0.724  0.224  0.500
Ru  0.278  0.778  0.500
Ru  0.497  0.497  0.000

## Properties
- Offset from the most stable computed form: 83.8 meV per atom
- Magnetization: 0.000 μB per atom
- Space group: Imm2

---

## NiBiBr2 (PBE)

Data for an optimized crystal structure of NiBiBr2.

a b c (Å): 7.408 7.408 7.408
angles (deg): 39.89 39.89 39.89
Sites, in units of the cell vectors:
Ni  0.000  0.000  0.000
Bi  0.500  0.500  0.500
Br  0.107  0.107  0.107
Br  0.893  0.893  0.893

## Properties
- Offset from the most stable computed form: 390.3 meV per atom
- Magnetization: 0.000 μB per atom
- Space group: R-3m
- Formation energy without anion corrections: 0.29 eV/atom

---

## SrRe3Si (PBE)

Data for an optimized crystal structure of SrRe3Si.

a b c (Å): 4.603 4.603 4.603
angles (deg): 90.00 90.00 90.00
Sites, in units of the cell vectors:
Sr  0.000  0.000  0.000
Re  0.000  0.500  0.500
Re  0.500  0.000  0.500
Re  0.500  0.500  0.000
Si  0.500  0.500  0.500

## Properties
- Offset from the most stable computed form: 0.0 meV per atom
- Magnetization: 0.000 μB per atom
- Space group: Pm-3m
- Formation energy without anion corrections: 1.14 eV/atom

---

Which formula does entry 3 have?
SrRe3Si